Version a
DFT (PBE-GGA) results for crystalline CoIrI2 at its relaxed geometry.

The structure in POSCAR format:
```
CoIrI2
1.0
-2.957 2.957 5.878
2.957 -2.957 5.878
2.957 2.957 -5.878
Co Ir I
2 2 4
Direct
0.000 0.000 0.000
0.750 0.250 0.500
0.250 0.750 0.500
0.500 0.500 0.000
0.112 0.625 0.987
0.375 0.362 0.487
0.638 0.125 0.013
0.875 0.888 0.513
```

Results
Its calculated volume is 25.70 A^3/atom. The crystal system is tetragonal. As for the space group: I-42d.

***

Version b
DFT (PBE-GGA) results for crystalline CoIrI2 at its relaxed geometry.

The structure in POSCAR format:
```
CoIrI2
1.0
0.000 3.403 3.403
3.403 0.000 3.403
3.403 3.403 0.000
Co Ir I
1 1 2
Direct
0.000 0.000 0.000
0.500 0.500 0.500
0.250 0.250 0.250
0.750 0.750 0.750
```

Results
Its calculated volume is 19.71 A^3/atom. The crystal system is cubic. As for the space group: Fm-3m.

***

Which of them is least stable? Easy: version b.

***

Version a
DFT (PBE-GGA) results for crystalline CoIrIN2 at its relaxed geometry.

The structure in POSCAR format:
```
CoIrIN2
1.0
3.737 0.000 0.000
0.000 3.737 0.000
0.000 0.000 8.572
Co Ir I N
1 1 1 2
Direct
0.000 0.000 0.000
0.500 0.500 0.500
0.500 0.500 0.000
0.000 0.500 0.500
0.500 0.000 0.500
```

Results
Its calculated volume is 23.94 A^3/atom. The crystal system is tetragonal. As for the space group: P4/mmm.

***

Version b
DFT (PBE-GGA) results for crystalline CoIrIN2 at its relaxed geometry.

The structure in POSCAR format:
```
CoIrIN2
1.0
3.603 0.000 0.000
0.000 3.603 0.000
0.000 0.000 7.684
Co Ir I N
1 1 1 2
Direct
0.000 0.000 0.000
0.500 0.500 0.500
0.000 0.000 0.500
0.000 0.500 0.000
0.500 0.000 0.000
```

Results
Its calculated volume is 19.95 A^3/atom. The crystal system is tetragonal. As for the space group: P4/mmm.

***

Which of them is least stable? Easy: version b.

***

Version a
DFT (PBE-GGA) results for crystalline CoIrI2N at its relaxed geometry.

The structure in POSCAR format:
```
CoIrI2N
1.0
5.616 0.000 0.000
0.000 5.616 0.000
0.000 0.000 3.690
Co Ir I N
1 1 2 1
Direct
0.000 0.000 0.000
0.500 0.500 0.500
0.000 0.500 0.500
0.500 0.000 0.500
0.500 0.500 0.000
```

Results
Its calculated volume is 23.28 A^3/atom. The crystal system is tetragonal. As for the space group: P4/mmm.

***

Version b
DFT (PBE-GGA) results for crystalline CoIrI2N at its relaxed geometry.

The structure in POSCAR format:
```
CoIrI2N
1.0
5.245 0.000 0.000
0.000 5.245 0.000
0.000 0.000 3.383
Co Ir I N
1 1 2 1
Direct
0.000 0.000 0.000
0.500 0.500 0.500
0.000 0.500 0.000
0.500 0.000 0.000
0.000 0.000 0.500
```

Results
Its calculated volume is 18.61 A^3/atom. The crystal system is tetragonal. As for the space group: P4/mmm.

***

Which of them is least stable? Easy: version b.

***

Version a
DFT (PBE-GGA) results for crystalline KCoI2 at its relaxed geometry.

The structure in POSCAR format:
```
KCoI2
1.0
2.099 1.212 9.582
-2.099 1.212 9.582
0.000 -2.424 9.582
K Co I
1 1 2
Direct
0.000 0.000 0.000
0.500 0.500 0.500
0.116 0.116 0.116
0.884 0.884 0.884
```

Results
Its calculated volume is 36.57 A^3/atom. The crystal system is trigonal. As for the space group: R-3m.

***

Version b
DFT (PBE-GGA) results for crystalline KCoI2 at its relaxed geometry.

The structure in POSCAR format:
```
KCoI2
1.0
-4.047 4.047 4.220
4.047 -4.047 4.220
4.047 4.047 -4.220
K Co I
2 2 4
Direct
0.000 0.000 0.000
0.750 0.250 0.500
0.250 0.750 0.500
0.500 0.500 0.000
0.221 0.625 0.096
0.375 0.471 0.596
0.529 0.125 0.904
0.875 0.779 0.404
```

Results
Its calculated volume is 34.56 A^3/atom. The crystal system is tetragonal. As for the space group: I-42d.

***

Which of them is least stable? Easy: version a.

***

Version a
DFT (PBE-GGA) results for crystalline KCoIN2 at its relaxed geometry.

The structure in POSCAR format:
```
KCoIN2
1.0
5.995 0.000 0.000
0.000 5.995 0.000
0.000 0.000 8.331
K Co I N
1 1 1 2
Direct
0.000 0.000 0.000
0.500 0.500 0.500
0.000 0.000 0.500
0.000 0.500 0.000
0.500 0.000 0.000
```

Results
Its calculated volume is 59.89 A^3/atom. The crystal system is tetragonal. As for the space group: P4/mmm.

***

Version b
DFT (PBE-GGA) results for crystalline KCoIN2 at its relaxed geometry.

The structure in POSCAR format:
```
KCoIN2
1.0
4.051 0.000 0.000
0.000 4.051 0.000
0.000 0.000 5.513
K Co I N
1 1 1 2
Direct
0.000 0.000 0.000
0.500 0.500 0.500
0.500 0.500 0.000
0.000 0.500 0.500
0.500 0.000 0.500
```

Results
Its calculated volume is 18.10 A^3/atom. The crystal system is tetragonal. As for the space group: P4/mmm.

***

Which of them is least stable? Easy: version a.

***

Version a
DFT (PBE-GGA) results for crystalline KCoSb2I at its relaxed geometry.

The structure in POSCAR format:
```
KCoSb2I
1.0
4.765 0.000 0.000
0.000 4.765 0.000
0.000 0.000 9.680
K Co Sb I
1 1 2 1
Direct
0.000 0.000 0.000
0.500 0.500 0.500
0.000 0.500 0.500
0.500 0.000 0.500
0.500 0.500 0.000
```

Results
Its calculated volume is 43.96 A^3/atom. The crystal system is tetragonal. As for the space group: P4/mmm.

***

Version b
DFT (PBE-GGA) results for crystalline KCoSb2I at its relaxed geometry.

The structure in POSCAR format:
```
KCoSb2I
1.0
6.117 0.000 0.000
0.000 6.117 0.000
0.000 0.000 6.084
K Co Sb I
1 1 2 1
Direct
0.000 0.000 0.000
0.500 0.500 0.500
0.000 0.500 0.000
0.500 0.000 0.000
0.000 0.000 0.500
```

Results
Its calculated volume is 45.52 A^3/atom. The crystal system is tetragonal. As for the space group: P4/mmm.

***

Which of them is least stable? Easy: version b.